# NiBiO3 | the Alexandria database | PBE+U | optimized geometry
# - total magnetization (μB per cell) = 7.5
# - total DFT energy (no corrections) (eV/atom) = -5.260
data_NiBiO3
_chemical_formula_sum 'Ni4 Bi4 O12'
_symmetry_space_group_name_H-M 'P n m a'
_symmetry_Int_Tables_number 62
_symmetry_space_group_name_Hall '-P 2ac 2n'
_cell_length_a 5.7175
_cell_length_b 7.7886
_cell_length_c 5.3663
_cell_angle_alpha 90.00
_cell_angle_beta 90.00
_cell_angle_gamma 90.00
loop_
_atom_site_label
_atom_site_type_symbol
_atom_site_fract_x
_atom_site_fract_y
_atom_site_fract_z
Ni1 Ni 0.0000 0.0000 0.0000
Bi1 Bi 0.0656 0.2500 0.4791
O1 O 0.0575 0.7500 0.1319
O2 O 0.1885 0.5629 0.6848